Material: LaSmAgPt
Method: DFT, PBE
State: optimized geometry

Values from the calculation:
The value obtained for the volume is 104 Å³/f.u. As for the raw total energy: -0.1963 Ha/atom.

Unit cell a=4.7891 b=3.9501 c=10.9628 alpha=90.00 beta=90.00 gamma=90.00
Fractional coordinates of all 8 atoms:
La: 0.0000 0.0000 0.0000
La: 0.0000 0.5000 0.5000
Sm: 0.5000 0.0000 0.2754
Sm: 0.5000 0.5000 0.7754
Ag: 0.5000 0.0000 0.5585
Ag: 0.5000 0.5000 0.0585
Pt: 0.0000 0.0000 0.7259
Pt: 0.0000 0.5000 0.2259

Material: Y12Si5S28
Method: DFT, PBE
State: optimized geometry

Values from the calculation:
The value obtained for the volume is 961 Å³/f.u. The value obtained for the raw formation energy is -1.59 eV per atom.

Unit cell a=9.8115 b=11.3683 c=11.3828 alpha=60.86 beta=64.50 gamma=64.45
Fractional coordinates of all 45 atoms:
Y: 0.0000 0.0000 0.0000
Y: 0.0014 0.5185 0.4624
Y: 0.0918 0.2353 0.1753
Y: 0.1022 0.6961 0.6996
Y: 0.2136 0.5760 0.0613
Y: 0.2364 0.0850 0.5379
Y: 0.5057 0.9517 0.9488
Y: 0.5186 0.4734 0.4173
Y: 0.6462 0.3405 0.7887
Y: 0.6490 0.8092 0.3016
Y: 0.7307 0.0422 0.4973
Y: 0.7412 0.5311 0.0141
Si: 0.2035 0.8566 0.2485
Si: 0.2049 0.3476 0.7376
Si: 0.5358 0.7750 0.6586
Si: 0.5376 0.2730 0.1542
Si: 0.8717 0.9901 0.7735
S: 0.0075 0.9864 0.5516
S: 0.0365 0.5038 0.9924
S: 0.1066 0.8372 0.8401
S: 0.1252 0.3311 0.3331
S: 0.2015 0.6718 0.4298
S: 0.2053 0.1663 0.9239
S: 0.2826 0.8142 0.0608
S: 0.2918 0.3122 0.5468
S: 0.3406 0.9787 0.2184
S: 0.3588 0.4587 0.7006
S: 0.3898 0.8045 0.5445
S: 0.3973 0.3062 0.0337
S: 0.4504 0.4608 0.1958
S: 0.4498 0.9653 0.6969
S: 0.5306 0.5966 0.8473
S: 0.5433 0.0836 0.3331
S: 0.6068 0.6838 0.1778
S: 0.6461 0.1462 0.7068
S: 0.7102 0.5091 0.5107
S: 0.7208 0.9995 0.0011
S: 0.7645 0.7781 0.5139
S: 0.7669 0.2760 0.0083
S: 0.7736 0.3012 0.3037
S: 0.7820 0.8056 0.8077
S: 0.9605 0.1703 0.7305
S: 0.9643 0.7175 0.2128
S: 0.9743 0.4913 0.7331
S: 0.9773 0.0084 0.2484